This record from Alexandria via LeMat-Bulk describes an optimized crystal structure of GaSn2N. The functional is GGA-PBE.

Structure (extended XYZ):
```
8
Lattice="-2.842 2.842 5.540 2.842 -2.842 5.540 2.842 2.842 -5.540" Properties=species:S:1:pos:R:3 pbc="T T T"
Ga 0.000 0.000 0.000
Ga 0.000 2.842 2.770
Sn 1.421 -1.074 4.155
Sn 1.768 1.421 1.385
Sn 1.421 3.915 -1.385
Sn 1.074 1.421 6.924
N 2.842 0.000 2.770
N 0.000 0.000 5.540
```

V = 22.367 Å³/atom
space-group type = I-42d (122)
formation energy from raw total energies = 0.262 eV per atom
energy above the most stable polymorph in this dataset = 0.303 eV per atom